# 1
An optimized crystal structure of TiAl2HAu, computed with PBE.

Structure (CIF):
```
data_TiAl2HAu
_cell_length_a 4.1582
_cell_length_b 4.1582
_cell_length_c 3.7871
_cell_angle_alpha 90.00
_cell_angle_beta 90.00
_cell_angle_gamma 90.00
_symmetry_space_group_name_H-M 'P 4/m m m'
_symmetry_Int_Tables_number 123
_symmetry_space_group_name_Hall '-P 4 2'
loop_
_atom_site_label
_atom_site_type_symbol
_atom_site_fract_x
_atom_site_fract_y
_atom_site_fract_z
Ti1 Ti 0.0000 0.0000 0.0000
Al1 Al 0.0000 0.5000 0.5000
H1 H 0.0000 0.0000 0.5000
Au1 Au 0.5000 0.5000 0.0000
```

---

# 2
An optimized crystal structure of AlV2HAu, computed with PBE.

Structure (CIF):
```
data_AlV2HAu
_cell_length_a 3.7183
_cell_length_b 3.7183
_cell_length_c 4.3978
_cell_angle_alpha 90.00
_cell_angle_beta 90.00
_cell_angle_gamma 90.00
_symmetry_space_group_name_H-M 'P 4/m m m'
_symmetry_Int_Tables_number 123
_symmetry_space_group_name_Hall '-P 4 2'
loop_
_atom_site_label
_atom_site_type_symbol
_atom_site_fract_x
_atom_site_fract_y
_atom_site_fract_z
Al1 Al 0.0000 0.0000 0.0000
V1 V 0.0000 0.5000 0.5000
H1 H 0.0000 0.0000 0.5000
Au1 Au 0.5000 0.5000 0.0000
```

Summary:
energy above the lowest structure with this stoichiometry: 0.000 eV per atom

---

no.,uncorrected energy (hartree per atom),DOS(E_F) (states/eV/cell),ρ (g cm⁻³)
1,-0.173,1.92,7.60
2,-0.217,2.70,8.93